GeSe2NCl: optimized geometry, PBE.

Total DFT energy (no corrections)   -14.90 eV/cell
Formation energy without anion corrections   1371.7 meV/atom
D(E_F)   1.84 states/eV per cell
Space-group type   P4/mmm (123)
Energy above the lowest structure with this stoichiometry   0.483 eV/atom
Magnetization   0.31 μB per atom

abc: 5.127 5.127 3.855
angles: 90.00 90.00 90.00
Element x y z (fractional)
Ge (0.000, 0.000, 0.000)
Se (0.000, 0.500, 0.500)
Se (0.500, 0.000, 0.500)
N (0.500, 0.500, 0.000)
Cl (0.500, 0.500, 0.500)